A relaxed KAs2AuS crystal, computed with GGA-PBE.

Calculated values
Density of states at the Fermi level: 5.16 states/eV/cell
Space-group type: P4/mmm (123)
Formation energy without anion corrections: 0.491 eV/atom
Theoretical density: 4.6 g/cm³

a = 4.944 Å, b = 4.944 Å, c = 6.166 Å
α = 90.00°, β = 90.00°, γ = 90.00°
Sites, in units of the cell vectors:
K: 0.000 0.000 0.000
As: 0.000 0.500 0.500
As: 0.500 0.000 0.500
Au: 0.000 0.000 0.500
S: 0.500 0.500 0.000



A relaxed Ba2CaHg crystal, computed with GGA-PBE.

Calculated values
Density of states at the Fermi level: 2.47 states/eV/cell
Space-group type: F-43m (216)
Offset from the most stable computed form: 4.01 kcal/mol of atoms
Theoretical density: 5.5 g/cm³

a = 6.038 Å, b = 6.038 Å, c = 6.038 Å
α = 60.00°, β = 60.00°, γ = 60.00°
Sites, in units of the cell vectors:
Ba: 0.000 0.000 0.000
Ba: 0.250 0.250 0.250
Ca: 0.750 0.750 0.750
Hg: 0.500 0.500 0.500



A relaxed Sm2Ho2Er4Tm crystal, computed with GGA-PBE.

Calculated values
Density of states at the Fermi level: 12.08 states/eV/cell
Space-group type: C2/m (12)
Electronic total energy: -41.34 eV/f.u.
Theoretical density: 8.7 g/cm³

a = 9.421 Å, b = 9.421 Å, c = 9.472 Å
α = 115.23°, β = 115.23°, γ = 21.81°
Sites, in units of the cell vectors:
Sm: 0.165 0.165 0.499
Sm: 0.835 0.835 0.501
Ho: 0.353 0.353 0.837
Ho: 0.647 0.647 0.163
Er: 0.019 0.019 0.835
Er: 0.315 0.315 0.165
Er: 0.685 0.685 0.835
Er: 0.981 0.981 0.165
Tm: 0.500 0.500 0.500



A relaxed K2MoAsRh crystal, computed with GGA-PBE.

Calculated values
Density of states at the Fermi level: 7.85 states/eV/cell
Space-group type: P4/mmm (123)
Electronic total energy: -19.34 eV/f.u.
Theoretical density: 3.1 g/cm³

a = 6.187 Å, b = 6.187 Å, c = 4.848 Å
α = 90.00°, β = 90.00°, γ = 90.00°
Sites, in units of the cell vectors:
K: 0.000 0.500 0.000
K: 0.500 0.000 0.000
Mo: 0.000 0.000 0.500
As: 0.000 0.000 0.000
Rh: 0.500 0.500 0.500



A relaxed Zr2ReCl crystal, computed with GGA-PBE.

Calculated values
Density of states at the Fermi level: 3.90 states/eV/cell
Space-group type: P2/m (10)
Formation energy without anion corrections: -0.280 eV/atom
Offset from the most stable computed form: 8.19 kcal/mol of atoms
Theoretical density: 8.6 g/cm³

a = 3.174 Å, b = 4.971 Å, c = 4.973 Å
α = 90.00°, β = 91.26°, γ = 90.00°
Sites, in units of the cell vectors:
Zr: 0.000 0.000 0.000
Zr: 0.000 0.500 0.500
Re: 0.500 0.000 0.500
Cl: 0.000 0.500 0.000



A relaxed MnZn2Ir crystal, computed with GGA-PBE.

Calculated values
Density of states at the Fermi level: 4.99 states/eV/cell
Space-group type: I-42d (122)
Electronic total energy: -19.35 eV/f.u.
Theoretical density: 10.0 g/cm³

a = 5.557 Å, b = 5.557 Å, c = 5.557 Å
α = 102.77°, β = 102.77°, γ = 123.90°
Sites, in units of the cell vectors:
Mn: 0.000 0.000 0.000
Mn: 0.750 0.250 0.500
Zn: 0.131 0.625 0.006
Zn: 0.375 0.381 0.506
Zn: 0.619 0.125 0.994
Zn: 0.875 0.869 0.494
Ir: 0.250 0.750 0.500
Ir: 0.500 0.500 0.000



A relaxed LaScRe4 crystal, computed with GGA-PBE.

Calculated values
Density of states at the Fermi level: 5.33 states/eV/cell
Space-group type: F-43m (216)
Electronic total energy: -61.11 eV/f.u.
Theoretical density: 13.6 g/cm³

a = 5.429 Å, b = 5.429 Å, c = 5.429 Å
α = 60.00°, β = 60.00°, γ = 60.00°
Sites, in units of the cell vectors:
La: 0.000 0.000 0.000
Sc: 0.250 0.250 0.250
Re: 0.126 0.625 0.625
Re: 0.625 0.126 0.625
Re: 0.625 0.625 0.126
Re: 0.625 0.625 0.625



A relaxed Te2RhPb crystal, computed with GGA-PBE.

Calculated values
Density of states at the Fermi level: 2.54 states/eV/cell
Space-group type: Immm (71)
Formation energy without anion corrections: -0.116 eV/atom
Theoretical density: 8.6 g/cm³

a = 6.354 Å, b = 6.354 Å, c = 6.354 Å
α = 145.93°, β = 129.95°, γ = 61.93°
Sites, in units of the cell vectors:
Te: 0.174 0.174 0.000
Te: 0.826 0.826 0.000
Rh: 0.000 0.500 0.500
Pb: 0.500 0.000 0.500



Magnetic moment (μB/f.u.)
0.1; 0.0; 0.0; 4.3; 0.0; 4.0; 0.0; 0.0